[1]
Below is a relaxed Cd2AsIr crystal, with properties calculated at the PBEsol level.

```
Cd2AsIr
1.0
4.625 0.000 0.000
2.312 4.005 0.000
2.312 1.335 3.776
Cd As Ir
2 1 1
Cartesian
0.000 0.000 0.000
2.312 1.335 0.944
4.625 2.670 1.888
6.937 4.005 2.832
```

Results
Space group: No. 216
Fermi-level density of states: 0.581 states/eV per atom
Energy of formation from the pure elements: 0.32 eV per atom
Calculated total energy: -16.05 eV for the cell shown

[2]
Below is a relaxed Cs2Li14Tb3O14 crystal, with properties calculated at the PBEsol level.

```
Cs2Li14Tb3O14
1.0
7.409 0.000 0.000
0.000 8.067 0.000
-3.704 -4.034 6.521
O Li Cs Tb
14 14 2 3
Cartesian
-1.497 4.034 3.309
3.704 -2.545 4.806
3.704 2.545 4.806
1.497 4.034 3.309
3.704 2.233 1.683
3.704 5.835 1.683
0.000 6.579 1.715
2.207 0.000 3.212
0.000 -1.801 4.838
2.208 0.000 0.000
5.202 0.000 3.212
5.201 0.000 0.000
0.000 1.801 4.838
0.000 1.488 1.715
3.704 1.182 3.488
3.704 6.832 0.000
-1.679 -2.785 4.786
0.000 5.216 3.033
3.704 1.235 0.000
3.704 -1.182 3.488
5.383 6.818 1.736
2.026 1.249 1.736
1.679 -2.785 4.786
5.383 1.249 1.736
1.679 2.785 4.786
-1.679 2.785 4.786
0.000 2.852 3.033
2.026 6.818 1.736
1.729 4.034 0.000
5.680 4.034 0.000
0.000 0.000 3.508
3.704 4.034 3.013
0.000 0.000 0.000
```

Results
Space group: No. 71
Fermi-level density of states: 0.546 states/eV per atom
Formation energy (no corrections): -68.0 eV per formula unit
Calculated total energy: -185.97 eV for the cell shown

[3]
Below is a relaxed CdHgSe2 crystal, with properties calculated at the PBEsol level.

```
CdHgSe2
1.0
-3.783 -0.219 -2.079
-0.917 -3.430 -2.465
-4.437 -4.447 4.045
Se Cd Hg
2 1 1
Cartesian
-5.784 -4.869 -2.445
-5.641 -5.254 1.826
-4.564 -4.043 -0.258
-4.702 -3.651 -4.541
```

Results
Space group: No. 160
Fermi-level density of states: 0.070 states/eV per atom
Formation energy (no corrections): -1.5 eV per formula unit
Calculated total energy: -10.97 eV for the cell shown

[4]
Below is a relaxed CaLaSe2S crystal, with properties calculated at the PBEsol level.

```
CaLaSe2S
1.0
-2.770 -4.171 0.609
2.442 -2.250 -4.305
3.832 -2.069 3.255
Ca Se S La
1 2 1 1
Cartesian
1.752 -4.245 -0.220
1.916 -1.035 1.628
1.221 -1.125 -2.153
0.000 0.000 0.000
-1.385 -2.086 0.304
```

Results
Space group: No. 123
Fermi-level density of states: 0.755 states/eV per atom
Formation energy (no corrections): -2.8 eV per formula unit
Calculated total energy: -22.33 eV for the cell shown